Entry from the Alexandria database: CsAgGe2 after structural relaxation (PBE-GGA).

Results
Energy relative to the lowest polymorph listed for this composition   0.0 kJ per mole of atoms
Formation enthalpy at 0 K   -2 meV/atom
Total energy   -0.23788 Ry per atom
Symmetry   R-3m (166)
V   121.3 Å³/f.u.

Cell lengths 4.4927, 4.4927, 7.4103 Å; angles 72.35, 72.35, 60.00 degrees
Fractional coordinates of all 4 atoms:
Ge  0.2970  0.2970  0.1090
Ag  0.0000  0.0000  0.0000
Ge  0.7030  0.7030  0.8910
Cs  0.5000  0.5000  0.5000

Entry from the Alexandria database: Sc2BI after structural relaxation (PBE-GGA).

Results
Energy relative to the lowest polymorph listed for this composition   68.0 kJ per mole of atoms
Total energy   -0.36314 Ry per atom
Symmetry   Fm-3m (225)
Formation energy (no corrections)   282 meV per atom
V   77.6 Å³/f.u.

Cell lengths 4.7872, 4.7872, 4.7872 Å; angles 60.00, 60.00, 60.00 degrees
Fractional coordinates of all 4 atoms:
Sc  0.7500  0.7500  0.7500
B  0.0000  0.0000  0.0000
I  0.5000  0.5000  0.5000
Sc  0.2500  0.2500  0.2500

Entry from the Alexandria database: RbHg4Te after structural relaxation (PBE-GGA).

Results
Total energy   -0.07672 Ry per atom
Symmetry   F-43m (216)
Formation energy (no corrections)   -158 meV per atom
V   191.4 Å³/f.u.

Cell lengths 6.4689, 6.4689, 6.4689 Å; angles 60.00, 60.00, 60.00 degrees
Fractional coordinates of all 6 atoms:
Hg  0.6240  0.1280  0.6240
Hg  0.1280  0.6240  0.6240
Hg  0.6240  0.6240  0.6240
Rb  0.0000  0.0000  0.0000
Te  0.2500  0.2500  0.2500
Hg  0.6240  0.6240  0.1280

Entry from the Alexandria database: BaOs2Rh after structural relaxation (PBE-GGA).

Results
Energy relative to the lowest polymorph listed for this composition   74.7 kJ per mole of atoms
Formation enthalpy at 0 K   1088 meV/atom
Total energy   -0.50313 Ry per atom
Symmetry   R-3m (166)
V   74.0 Å³/f.u.

Cell lengths 10.3980, 10.3980, 10.3980 Å; angles 15.95, 15.95, 15.95 degrees
Fractional coordinates of all 4 atoms:
Ba  0.0000  0.0000  0.0000
Rh  0.5000  0.5000  0.5000
Os  0.7646  0.7646  0.7646
Os  0.2354  0.2354  0.2354

Entry from the Alexandria database: La2Cu2Pd after structural relaxation (PBE-GGA).

Results
Energy relative to the lowest polymorph listed for this composition   3.0 kJ per mole of atoms
Formation enthalpy at 0 K   -392 meV/atom
Total energy   -0.37040 Ry per atom
Symmetry   Amm2 (38)
V   114.4 Å³/f.u.

Cell lengths 3.8926, 4.1502, 7.3794 Å; angles 106.33, 90.00, 90.00 degrees
Fractional coordinates of all 5 atoms:
Pd  0.5000  0.1145  0.2290
La  0.0000  0.6847  0.3695
La  0.0000  0.9308  0.8617
Cu  0.5000  0.3127  0.6255
Cu  0.5000  0.4993  0.9985

Entry from the Alexandria database: La2MgHgN after structural relaxation (PBE-GGA).

Results
Total energy   -0.34663 Ry per atom
Symmetry   P4/mmm (123)
Formation energy (no corrections)   -701 meV per atom
V   117.8 Å³/f.u.

Cell lengths 5.1807, 5.1807, 4.3883 Å; angles 90.00, 90.00, 90.00 degrees
Fractional coordinates of all 5 atoms:
La  0.0000  0.5000  0.0000
Mg  0.0000  0.0000  0.5000
Hg  0.5000  0.5000  0.5000
La  0.5000  0.0000  0.0000
N  0.0000  0.0000  0.0000

Asked for DOS at the Fermi energy across the records above, the calculation gives 0.61, 2.29, 6.45, 5.06, 4.25, 4.12 states/eV/cell in order.